A geometry-optimized PmPuPN structure. Source: Alexandria, functional PBE.

Lattice parameters (Å, degrees): 3.763 3.763 18.859 90.00 90.00 120.00
Element x y z (fractional)
Pm1 0.000 0.000 0.000
Pm2 0.333 0.667 0.667
Pm3 0.667 0.333 0.333
Pu1 0.000 0.000 0.521
Pu2 0.333 0.667 0.188
Pu3 0.667 0.333 0.855
P1 0.000 0.000 0.765
P2 0.333 0.667 0.431
P3 0.667 0.333 0.098
N1 0.000 0.000 0.252
N2 0.333 0.667 0.918
N3 0.667 0.333 0.585

Fermi-level density of states in states/eV per cell: 21.36
Raw formation energy in meV/atom: -1248
E_tot in eV per atom: -9.4527

***

A geometry-optimized Ac2Zn3In4Cu structure. Source: Alexandria, functional PBE.

Lattice parameters (Å, degrees): 4.653 4.653 11.227 90.00 90.00 90.00
Element x y z (fractional)
Ac1 0.000 0.500 0.239
Ac2 0.500 0.000 0.761
Zn1 0.000 0.000 0.000
Zn2 0.000 0.500 0.642
Zn3 0.500 0.000 0.358
In1 0.000 0.000 0.500
In2 0.000 0.500 0.880
In3 0.500 0.000 0.120
In4 0.500 0.500 0.500
Cu1 0.500 0.500 0.000

Formation energy in eV/atom: -0.341
Fermi-level density of states in states/eV per cell: 3.46
E_tot in eV per atom: -3.0500

***

A geometry-optimized TlSbOs structure. Source: Alexandria, functional PBE.

Lattice parameters (Å, degrees): 3.380 3.380 6.818 90.00 90.00 120.00
Element x y z (fractional)
Tl1 0.000 0.000 0.000
Sb1 0.333 0.667 0.581
Os1 0.667 0.333 0.320

Fermi-level density of states in states/eV per cell: 1.71
Raw formation energy in meV/atom: 541
E_tot in eV per atom: -5.3652
Offset from the most stable computed form in eV/atom: 0.087

***

A geometry-optimized PrHoMgSc structure. Source: Alexandria, functional PBE.

Lattice parameters (Å, degrees): 3.507 3.505 9.327 90.00 90.06 90.00
Element x y z (fractional)
Pr1 0.000 0.000 0.000
Ho1 0.500 0.500 0.715
Mg1 0.501 0.500 0.259
Sc1 0.001 0.000 0.471

Formation energy in eV/atom: -0.002
Fermi-level density of states in states/eV per cell: 5.88
E_tot in eV per atom: -4.3228
Offset from the most stable computed form in eV/atom: 0.000

***

A geometry-optimized Y3ErZn2 structure. Source: Alexandria, functional PBE.

Lattice parameters (Å, degrees): 3.578 3.578 12.162 90.00 90.00 90.00
Element x y z (fractional)
Y1 0.000 0.000 0.000
Y2 0.000 0.000 0.292
Y3 0.000 0.000 0.708
Er1 0.500 0.500 0.500
Zn1 0.500 0.500 0.146
Zn2 0.500 0.500 0.854

Formation energy in eV/atom: -0.228
Fermi-level density of states in states/eV per cell: 6.75
E_tot in eV per atom: -4.6456
Offset from the most stable computed form in eV/atom: 0.016

***

A geometry-optimized CdBiN2F structure. Source: Alexandria, functional PBE.

Lattice parameters (Å, degrees): 4.235 4.235 4.274 90.00 90.00 90.00
Element x y z (fractional)
Cd1 0.000 0.000 0.000
Bi1 0.500 0.500 0.500
N1 0.000 0.500 0.000
N2 0.500 0.000 0.000
F1 0.000 0.000 0.500

Fermi-level density of states in states/eV per cell: 1.95
Raw formation energy in meV/atom: 763
E_tot in eV per atom: -3.9002
Offset from the most stable computed form in eV/atom: 0.137

***

A geometry-optimized ScAl2Cd structure. Source: Alexandria, functional PBE.

Lattice parameters (Å, degrees): 3.087 3.087 29.352 90.00 90.00 120.00
Element x y z (fractional)
Sc1 0.000 0.000 0.000
Sc2 0.333 0.667 0.667
Sc3 0.667 0.333 0.333
Al1 0.000 0.000 0.251
Al2 0.000 0.000 0.749
Al3 0.333 0.667 0.416
Al4 0.333 0.667 0.918
Al5 0.667 0.333 0.082
Al6 0.667 0.333 0.584
Cd1 0.000 0.000 0.500
Cd2 0.333 0.667 0.167
Cd3 0.667 0.333 0.833

Formation energy in eV/atom: -0.030
Fermi-level density of states in states/eV per cell: 10.18
E_tot in eV per atom: -3.7128

***

A geometry-optimized NaAs3N structure. Source: Alexandria, functional PBE.

Lattice parameters (Å, degrees): 5.056 5.056 5.056 90.00 90.00 90.00
Element x y z (fractional)
Na1 0.000 0.000 0.000
As1 0.000 0.000 0.500
As2 0.000 0.500 0.000
As3 0.500 0.000 0.000
N1 0.500 0.500 0.500

Fermi-level density of states in states/eV per cell: 3.97
Raw formation energy in meV/atom: 2069
E_tot in eV per atom: -2.6493
Offset from the most stable computed form in eV/atom: 1.493

***

A geometry-optimized Sc6Sn2Sb structure. Source: Alexandria, functional PBE.

Lattice parameters (Å, degrees): 7.888 7.888 3.932 90.00 90.00 120.00
Element x y z (fractional)
Sc1 0.000 0.393 0.000
Sc2 0.000 0.730 0.500
Sc3 0.270 0.270 0.500
Sc4 0.393 0.000 0.000
Sc5 0.607 0.607 0.000
Sc6 0.730 0.000 0.500
Sn1 0.333 0.667 0.500
Sn2 0.667 0.333 0.500
Sb1 0.000 0.000 0.000

Fermi-level density of states in states/eV per cell: 11.30
Raw formation energy in meV/atom: -613
E_tot in eV per atom: -6.1817

***

A geometry-optimized Ce3PuCd structure. Source: Alexandria, functional PBE.

Lattice parameters (Å, degrees): 4.148 9.084 7.245 90.00 90.00 90.00
Element x y z (fractional)
Ce1 0.000 0.000 0.000
Ce2 0.000 0.500 0.500
Ce3 0.500 0.229 0.245
Ce4 0.500 0.271 0.745
Ce5 0.500 0.729 0.745
Ce6 0.500 0.771 0.245
Pu1 0.500 0.000 0.800
Pu2 0.500 0.500 0.300
Cd1 0.000 0.000 0.475
Cd2 0.000 0.500 0.975

Formation energy in eV/atom: 0.061
Fermi-level density of states in states/eV per cell: 16.70
E_tot in eV per atom: -6.5489
Offset from the most stable computed form in eV/atom: 0.016

***

A geometry-optimized Ca4HoSc3Se8 structure. Source: Alexandria, functional PBE.

Lattice parameters (Å, degrees): 8.163 8.163 8.163 59.04 59.04 59.04
Element x y z (fractional)
Ca1 0.000 0.000 0.000
Ca2 0.000 0.500 0.500
Ca3 0.500 0.000 0.500
Ca4 0.500 0.500 0.000
Ho1 0.500 0.500 0.500
Sc1 0.000 0.000 0.500
Sc2 0.000 0.500 0.000
Sc3 0.500 0.000 0.000
Se1 0.239 0.748 0.748
Se2 0.244 0.244 0.244
Se3 0.252 0.252 0.761
Se4 0.252 0.761 0.252
Se5 0.748 0.239 0.748
Se6 0.748 0.748 0.239
Se7 0.756 0.756 0.756
Se8 0.761 0.252 0.252

Fermi-level density of states in states/eV per cell: 6.40
Raw formation energy in meV/atom: -1799
E_tot in eV per atom: -5.5153

***

A geometry-optimized ZnAgTe structure. Source: Alexandria, functional PBE.

Lattice parameters (Å, degrees): 3.162 3.162 13.347 90.00 90.00 90.00
Element x y z (fractional)
Zn1 0.000 0.000 0.000
Zn2 0.500 0.500 0.500
Ag1 0.000 0.000 0.381
Ag2 0.500 0.500 0.881
Te1 0.000 0.000 0.688
Te2 0.500 0.500 0.188

Fermi-level density of states in states/eV per cell: 2.64
Raw formation energy in meV/atom: 189
E_tot in eV per atom: -2.2333
Offset from the most stable computed form in eV/atom: 0.244